First-principles (PBE) data for an optimized crystal structure of Ac2B2BrO6, as listed in Alexandria via LeMat-Bulk.

```
data_Ac2B2BrO6
_symmetry_space_group_name_H-M 'P 1'
_symmetry_Int_Tables_number 1
_cell_length_a 5.7203
_cell_length_b 6.2770
_cell_length_c 6.6760
_cell_angle_alpha 87.51
_cell_angle_beta 68.25
_cell_angle_gamma 64.97
loop_
_symmetry_equiv_pos_as_xyz
'x,y,z'
loop_
_atom_site_label
_atom_site_fract_x
_atom_site_fract_y
_atom_site_fract_z
Ac1 0.1414 0.2059 0.2758
Ac2 0.8586 0.7941 0.7242
B1 0.2168 0.1615 0.7080
B2 0.7832 0.8385 0.2920
Br1 0.5000 0.5000 0.0000
O1 0.1578 0.0004 0.6252
O2 0.1721 0.3704 0.6201
O3 0.3319 0.1006 0.8634
O4 0.6681 0.8994 0.1366
O5 0.8279 0.6296 0.3799
O6 0.8422 0.9996 0.3748
```

As for the space-group type: P-1 (2). As for the uncorrected energy: -7.4995 eV/atom. The calculation puts the mass density at 5.41 Mg/m³. Its uncorrected formation energy is -2682 meV/atom. The magnetization comes out at 1.042 μB/cell.

First-principles (PBE) data for an optimized crystal structure of RbSiSeN2, as listed in Alexandria via LeMat-Bulk.

```
data_RbSiSeN2
_symmetry_space_group_name_H-M 'P 1'
_symmetry_Int_Tables_number 1
_cell_length_a 4.2122
_cell_length_b 4.2122
_cell_length_c 6.5734
_cell_angle_alpha 90.00
_cell_angle_beta 90.00
_cell_angle_gamma 90.00
loop_
_symmetry_equiv_pos_as_xyz
'x,y,z'
loop_
_atom_site_label
_atom_site_fract_x
_atom_site_fract_y
_atom_site_fract_z
Rb1 0.0000 0.0000 0.0000
Si1 0.5000 0.5000 0.5000
Se1 0.0000 0.0000 0.5000
N1 0.0000 0.5000 0.0000
N2 0.5000 0.0000 0.0000
```

As for the space-group type: P4/mmm (123). As for the uncorrected energy: -2.5906 eV/atom. The calculation puts the mass density at 3.14 Mg/m³. Its uncorrected formation energy is 2715 meV/atom. The magnetization comes out at 0.000 μB/cell.

First-principles (PBE) data for an optimized crystal structure of Rb3CeDy3S8, as listed in Alexandria via LeMat-Bulk.

```
data_Rb3CeDy3S8
_symmetry_space_group_name_H-M 'P 1'
_symmetry_Int_Tables_number 1
_cell_length_a 9.1009
_cell_length_b 9.1009
_cell_length_c 9.1009
_cell_angle_alpha 52.96
_cell_angle_beta 52.96
_cell_angle_gamma 52.96
loop_
_symmetry_equiv_pos_as_xyz
'x,y,z'
loop_
_atom_site_label
_atom_site_fract_x
_atom_site_fract_y
_atom_site_fract_z
Rb1 0.0000 0.5000 0.5000
Rb2 0.5000 0.0000 0.5000
Rb3 0.5000 0.5000 0.0000
Ce1 0.5000 0.5000 0.5000
Dy1 0.0000 0.0000 0.5000
Dy2 0.0000 0.5000 0.0000
Dy3 0.5000 0.0000 0.0000
S1 0.2300 0.2300 0.2300
S2 0.2309 0.7279 0.7279
S3 0.2721 0.2721 0.7691
S4 0.2721 0.7691 0.2721
S5 0.7279 0.2309 0.7279
S6 0.7279 0.7279 0.2309
S7 0.7691 0.2721 0.2721
S8 0.7700 0.7700 0.7700
```

As for the space-group type: R-3m (166). As for the uncorrected energy: -5.5618 eV/atom. The calculation puts the mass density at 4.26 Mg/m³. Its uncorrected formation energy is -1851 meV/atom. The magnetization comes out at 0.000 μB/cell.

First-principles (PBE) data for an optimized crystal structure of Sr2LaSi, as listed in Alexandria via LeMat-Bulk.

```
data_Sr2LaSi
_symmetry_space_group_name_H-M 'P 1'
_symmetry_Int_Tables_number 1
_cell_length_a 7.4841
_cell_length_b 7.4841
_cell_length_c 7.4841
_cell_angle_alpha 148.85
_cell_angle_beta 135.37
_cell_angle_gamma 55.43
loop_
_symmetry_equiv_pos_as_xyz
'x,y,z'
loop_
_atom_site_label
_atom_site_fract_x
_atom_site_fract_y
_atom_site_fract_z
Sr1 0.0000 0.0000 0.0000
Sr2 0.6853 0.1853 0.5000
La1 0.3557 0.3557 0.0000
Si1 0.1919 0.6919 0.5000
```

As for the space-group type: Imm2 (44). As for the uncorrected energy: -3.5445 eV/atom. The calculation puts the mass density at 3.76 Mg/m³. Its uncorrected formation energy is -116 meV/atom. The magnetization comes out at 0.001 μB/cell.

First-principles (PBE) data for an optimized crystal structure of Si3TcAu, as listed in Alexandria via LeMat-Bulk.

```
data_Si3TcAu
_symmetry_space_group_name_H-M 'P 1'
_symmetry_Int_Tables_number 1
_cell_length_a 4.6554
_cell_length_b 4.6554
_cell_length_c 4.6554
_cell_angle_alpha 90.00
_cell_angle_beta 90.00
_cell_angle_gamma 90.00
loop_
_symmetry_equiv_pos_as_xyz
'x,y,z'
loop_
_atom_site_label
_atom_site_fract_x
_atom_site_fract_y
_atom_site_fract_z
Si1 0.0000 0.0000 0.5000
Si2 0.0000 0.5000 0.0000
Si3 0.5000 0.0000 0.0000
Tc1 0.0000 0.0000 0.0000
Au1 0.5000 0.5000 0.5000
```

As for the space-group type: Pm-3m (221). As for the uncorrected energy: -5.6164 eV/atom. The calculation puts the mass density at 6.24 Mg/m³. Its uncorrected formation energy is 366 meV/atom. The magnetization comes out at 0.000 μB/cell.

First-principles (PBE) data for an optimized crystal structure of Sr2MnCr, as listed in Alexandria via LeMat-Bulk.

```
data_Sr2MnCr
_symmetry_space_group_name_H-M 'P 1'
_symmetry_Int_Tables_number 1
_cell_length_a 6.2768
_cell_length_b 6.2768
_cell_length_c 6.2768
_cell_angle_alpha 134.24
_cell_angle_beta 134.24
_cell_angle_gamma 66.72
loop_
_symmetry_equiv_pos_as_xyz
'x,y,z'
loop_
_atom_site_label
_atom_site_fract_x
_atom_site_fract_y
_atom_site_fract_z
Sr1 0.0000 0.0000 0.0000
Sr2 0.7500 0.2500 0.5000
Mn1 0.5000 0.5000 0.0000
Cr1 0.2500 0.7500 0.5000
```

The value obtained for the energy of formation is 0.814 eV/atom. As for the space-group type: I-4m2 (119). As for the uncorrected energy: -4.7254 eV/atom. The calculation puts the mass density at 3.75 Mg/m³. The magnetization comes out at 8.996 μB/cell.

First-principles (PBE) data for an optimized crystal structure of LaP2Br, as listed in Alexandria via LeMat-Bulk.

```
data_LaP2Br
_symmetry_space_group_name_H-M 'P 1'
_symmetry_Int_Tables_number 1
_cell_length_a 5.0680
_cell_length_b 5.0680
_cell_length_c 5.0680
_cell_angle_alpha 60.00
_cell_angle_beta 60.00
_cell_angle_gamma 60.00
loop_
_symmetry_equiv_pos_as_xyz
'x,y,z'
loop_
_atom_site_label
_atom_site_fract_x
_atom_site_fract_y
_atom_site_fract_z
La1 0.0000 0.0000 0.0000
P1 0.2500 0.2500 0.2500
P2 0.5000 0.5000 0.5000
Br1 0.7500 0.7500 0.7500
```

As for the space-group type: F-43m (216). As for the uncorrected energy: -4.6468 eV/atom. The calculation puts the mass density at 5.07 Mg/m³. Its uncorrected formation energy is -292 meV/atom. The magnetization comes out at 0.000 μB/cell.

First-principles (PBE) data for an optimized crystal structure of AlAg2Rh, as listed in Alexandria via LeMat-Bulk.

```
data_AlAg2Rh
_symmetry_space_group_name_H-M 'P 1'
_symmetry_Int_Tables_number 1
_cell_length_a 5.4281
_cell_length_b 5.4281
_cell_length_c 4.3970
_cell_angle_alpha 113.53
_cell_angle_beta 113.53
_cell_angle_gamma 32.56
loop_
_symmetry_equiv_pos_as_xyz
'x,y,z'
loop_
_atom_site_label
_atom_site_fract_x
_atom_site_fract_y
_atom_site_fract_z
Al1 0.0000 0.0000 0.0000
Ag1 0.2673 0.2673 0.7670
Ag2 0.7327 0.7327 0.2330
Rh1 0.5000 0.5000 0.5000
```

The value obtained for the energy of formation is -0.192 eV/atom. As for the space-group type: C2/m (12). As for the uncorrected energy: -4.3909 eV/atom. The calculation puts the mass density at 9.05 Mg/m³. The magnetization comes out at 0.000 μB/cell.

First-principles (PBE) data for an optimized crystal structure of YZn2PdSe, as listed in Alexandria via LeMat-Bulk.

```
data_YZn2PdSe
_symmetry_space_group_name_H-M 'P 1'
_symmetry_Int_Tables_number 1
_cell_length_a 4.6879
_cell_length_b 4.6879
_cell_length_c 5.2111
_cell_angle_alpha 90.00
_cell_angle_beta 90.00
_cell_angle_gamma 90.00
loop_
_symmetry_equiv_pos_as_xyz
'x,y,z'
loop_
_atom_site_label
_atom_site_fract_x
_atom_site_fract_y
_atom_site_fract_z
Y1 0.0000 0.0000 0.0000
Zn1 0.0000 0.5000 0.5000
Zn2 0.5000 0.0000 0.5000
Pd1 0.5000 0.5000 0.5000
Se1 0.5000 0.5000 0.0000
```

As for the space-group type: P4/mmm (123). As for the uncorrected energy: -3.7651 eV/atom. The calculation puts the mass density at 5.87 Mg/m³. Its uncorrected formation energy is -227 meV/atom. The magnetization comes out at 0.000 μB/cell.

First-principles (PBE) data for an optimized crystal structure of Sr3Li5Br12, as listed in Alexandria via LeMat-Bulk.

```
data_Sr3Li5Br12
_symmetry_space_group_name_H-M 'P 1'
_symmetry_Int_Tables_number 1
_cell_length_a 14.4811
_cell_length_b 14.4811
_cell_length_c 14.4811
_cell_angle_alpha 109.47
_cell_angle_beta 109.47
_cell_angle_gamma 109.47
loop_
_symmetry_equiv_pos_as_xyz
'x,y,z'
loop_
_atom_site_label
_atom_site_fract_x
_atom_site_fract_y
_atom_site_fract_z
Sr1 0.1250 0.2500 0.3750
Sr2 0.1250 0.3750 0.7500
Sr3 0.2500 0.3750 0.1250
Sr4 0.2500 0.8750 0.6250
Sr5 0.3750 0.1250 0.2500
Sr6 0.3750 0.7500 0.1250
Sr7 0.6250 0.2500 0.8750
Sr8 0.6250 0.8750 0.7500
Sr9 0.7500 0.1250 0.3750
Sr10 0.7500 0.6250 0.8750
Sr11 0.8750 0.6250 0.2500
Sr12 0.8750 0.7500 0.6250
Li1 0.0000 0.0000 0.0000
Li2 0.0000 0.0000 0.5000
Li3 0.0000 0.5000 0.0000
Li4 0.0000 0.5000 0.5000
Li5 0.1250 0.7500 0.8750
Li6 0.1250 0.8750 0.2500
Li7 0.2500 0.1250 0.8750
Li8 0.2500 0.6250 0.3750
Li9 0.3750 0.2500 0.6250
Li10 0.3750 0.6250 0.7500
Li11 0.5000 0.0000 0.0000
Li12 0.5000 0.0000 0.5000
Li13 0.5000 0.5000 0.0000
Li14 0.5000 0.5000 0.5000
Li15 0.6250 0.3750 0.2500
Li16 0.6250 0.7500 0.3750
Li17 0.7500 0.3750 0.6250
Li18 0.7500 0.8750 0.1250
Li19 0.8750 0.1250 0.7500
Li20 0.8750 0.2500 0.1250
Br1 0.0312 0.2117 0.1223
Br2 0.0312 0.3195 0.9089
Br3 0.0894 0.7117 0.6805
Br4 0.0894 0.8777 0.4089
Br5 0.0911 0.6223 0.4106
Br6 0.0911 0.9688 0.6805
Br7 0.1223 0.0312 0.2117
Br8 0.1223 0.5911 0.9106
Br9 0.1805 0.2117 0.5894
Br10 0.1805 0.4688 0.5911
Br11 0.2117 0.1223 0.0312
Br12 0.2117 0.5894 0.1805
Br13 0.2883 0.3195 0.9106
Br14 0.2883 0.4688 0.3777
Br15 0.3195 0.9089 0.0312
Br16 0.3195 0.9106 0.2883
Br17 0.3777 0.2883 0.4688
Br18 0.3777 0.5894 0.9089
Br19 0.4089 0.0894 0.8777
Br20 0.4089 0.8195 0.5312
Br21 0.4106 0.0911 0.6223
Br22 0.4106 0.8195 0.7883
Br23 0.4688 0.3777 0.2883
Br24 0.4688 0.5911 0.1805
Br25 0.5312 0.4089 0.8195
Br26 0.5312 0.6223 0.7117
Br27 0.5894 0.1805 0.2117
Br28 0.5894 0.9089 0.3777
Br29 0.5911 0.1805 0.4688
Br30 0.5911 0.9106 0.1223
Br31 0.6223 0.4106 0.0911
Br32 0.6223 0.7117 0.5312
Br33 0.6805 0.0894 0.7117
Br34 0.6805 0.0911 0.9688
Br35 0.7117 0.5312 0.6223
Br36 0.7117 0.6805 0.0894
Br37 0.7883 0.4106 0.8195
Br38 0.7883 0.8777 0.9688
Br39 0.8195 0.5312 0.4089
Br40 0.8195 0.7883 0.4106
Br41 0.8777 0.4089 0.0894
Br42 0.8777 0.9688 0.7883
Br43 0.9089 0.0312 0.3195
Br44 0.9089 0.3777 0.5894
Br45 0.9106 0.1223 0.5911
Br46 0.9106 0.2883 0.3195
Br47 0.9688 0.6805 0.0911
Br48 0.9688 0.7883 0.8777
```

As for the space-group type: Ia-3d (230). As for the uncorrected energy: -3.3998 eV/atom. The calculation puts the mass density at 3.57 Mg/m³. Its uncorrected formation energy is -1665 meV/atom. The magnetization comes out at 0.000 μB/cell.